Here is a geometry-optimized CoHgNO structure from the Open Quantum Materials Database. Energies are from GGA+U.

abc: 3.880 3.880 7.758
angles: 90.00 90.00 90.00
Each line ends with the local moment (μB).
Sites, in units of the cell vectors:
O: 0.500 0.000 0.000  -0.08
Hg: 0.000 0.000 0.155  0.02
Co: 0.500 0.000 0.500  2.34
Co: 0.000 0.500 0.500  2.34
N: 0.000 0.000 0.446  0.13
O: 0.000 0.500 0.000  -0.08
N: 0.500 0.500 0.554  0.13
Hg: 0.500 0.500 0.845  0.02

Calculated values
For the volume, the calculation gives 14.6 Å³ per atom. For the energy relative to the lowest polymorph listed for this composition, the calculation gives 0.251 eV per atom.